First-principles (PBE with a Hubbard U) data for a relaxed ScCrBi2O6 crystal, as listed in Alexandria via LeMat-Bulk.

a b c (Å): 5.5254 5.7906 7.9644
angles (deg): 90.00 89.88 90.00
Sites, in units of the cell vectors:
Sc  0.5000  0.0000  0.5000
Sc  0.0000  0.5000  0.0000
Cr  0.5000  0.0000  0.0000
Cr  0.0000  0.5000  0.5000
Bi  0.0104  0.9503  0.2495
Bi  0.5104  0.5497  0.7495
Bi  0.9896  0.0497  0.7505
Bi  0.4896  0.4503  0.2505
O  0.3142  0.7015  0.0502
O  0.8142  0.7985  0.5502
O  0.6858  0.2985  0.9498
O  0.1858  0.2015  0.4498
O  0.3036  0.6915  0.4507
O  0.8036  0.8085  0.9507
O  0.6964  0.3085  0.5493
O  0.1964  0.1915  0.0493
O  0.8966  0.5327  0.2558
O  0.3966  0.9673  0.7558
O  0.1034  0.4673  0.7442
O  0.6034  0.0327  0.2442

Output
Total DFT energy (no corrections), eV per cell: -142.10
N(E_F), states/eV per atom: 0.000

***

First-principles (PBE with a Hubbard U) data for a relaxed CrSiBiO6 crystal, as listed in Alexandria via LeMat-Bulk.

a b c (Å): 4.9189 4.9189 4.9424
angles (deg): 90.00 90.00 60.00
Sites, in units of the cell vectors:
Cr  0.6666  0.6667  0.5000
Si  0.3333  0.3333  0.5000
Bi  0.9999  0.0000  0.0000
O  0.0144  0.3747  0.2936
O  0.3746  0.0144  0.7064
O  0.6109  0.3747  0.7064
O  0.0144  0.6110  0.7064
O  0.3746  0.6110  0.2936
O  0.6109  0.0144  0.2936

Output
Total DFT energy (no corrections), eV per cell: -62.06
N(E_F), states/eV per atom: 0.071

***

First-principles (PBE with a Hubbard U) data for a relaxed SmCr2BiO6 crystal, as listed in Alexandria via LeMat-Bulk.

a b c (Å): 5.5779 5.5781 5.5401
angles (deg): 59.78 59.78 60.01
Sites, in units of the cell vectors:
Sm  0.7833  0.7834  0.6501
Cr  0.5182  0.5182  0.4454
Cr  0.0171  0.0171  0.9487
Bi  0.2893  0.2894  0.1318
O  0.6875  0.2485  0.2194
O  0.2485  0.8444  0.2195
O  0.8446  0.6875  0.2190
O  0.3531  0.7405  0.7269
O  0.7405  0.1796  0.7270
O  0.1795  0.3530  0.7272

Output
Total DFT energy (no corrections), eV per cell: -74.81
N(E_F), states/eV per atom: 0.000

***

First-principles (PBE with a Hubbard U) data for a relaxed CrSnBiO6 crystal, as listed in Alexandria via LeMat-Bulk.

a b c (Å): 4.8148 4.8148 9.7189
angles (deg): 90.00 90.00 90.00
Sites, in units of the cell vectors:
Cr  0.5000  0.5000  0.4997
Cr  0.0000  0.0000  0.9997
Sn  0.5000  0.5000  0.8337
Sn  0.0000  0.0000  0.3337
Bi  0.5000  0.5000  0.1664
Bi  0.0000  0.0000  0.6664
O  0.2011  0.7989  0.4962
O  0.7989  0.2011  0.4962
O  0.2989  0.2989  0.9962
O  0.7011  0.7011  0.9962
O  0.1847  0.8153  0.1630
O  0.8153  0.1847  0.1630
O  0.3153  0.3153  0.6630
O  0.6847  0.6847  0.6630
O  0.8077  0.1923  0.8410
O  0.1923  0.8077  0.8410
O  0.6923  0.6923  0.3410
O  0.3077  0.3077  0.3410

Output
Total DFT energy (no corrections), eV per cell: -115.46
N(E_F), states/eV per atom: 0.070

***

First-principles (PBE with a Hubbard U) data for a relaxed CrSnBi2O6 crystal, as listed in Alexandria via LeMat-Bulk.

a b c (Å): 6.0001 5.8749 5.7984
angles (deg): 61.62 62.02 56.61
Sites, in units of the cell vectors:
Cr  0.8082  0.8076  0.5647
Sn  0.3162  0.3088  0.0583
Bi  0.5160  0.5265  0.4187
Bi  0.0273  0.0215  0.9171
O  0.5884  0.1584  0.2763
O  0.1731  0.9982  0.2451
O  0.9858  0.6187  0.2473
O  0.4495  0.6476  0.7825
O  0.6673  0.0970  0.7677
O  0.1298  0.4773  0.7374

Output
Total DFT energy (no corrections), eV per cell: -63.04

***

First-principles (PBE with a Hubbard U) data for a relaxed Cr2SnBiO6 crystal, as listed in Alexandria via LeMat-Bulk.

a b c (Å): 5.5441 5.5442 5.5997
angles (deg): 60.33 60.33 60.00
Sites, in units of the cell vectors:
Cr  0.5177  0.5178  0.4467
Cr  0.0175  0.0175  0.9476
Sn  0.3003  0.3002  0.0993
Bi  0.7934  0.7934  0.6199
O  0.6726  0.2398  0.2299
O  0.2398  0.8578  0.2298
O  0.8578  0.6725  0.2298
O  0.3446  0.7326  0.7374
O  0.7325  0.1854  0.7375
O  0.1854  0.3447  0.7374

Output
Total DFT energy (no corrections), eV per cell: -68.10
N(E_F), states/eV per atom: 0.190

***

First-principles (PBE with a Hubbard U) data for a relaxed SrCrSnBiO6 crystal, as listed in Alexandria via LeMat-Bulk.

a b c (Å): 5.6763 5.6763 5.6763
angles (deg): 60.00 60.00 60.00
Sites, in units of the cell vectors:
Sr  0.7500  0.7500  0.7500
Cr  0.0000  0.0000  0.0000
Sn  0.5000  0.5000  0.5000
Bi  0.2500  0.2500  0.2500
O  0.2463  0.7537  0.2463
O  0.7537  0.2463  0.7537
O  0.2463  0.7537  0.7537
O  0.7537  0.2463  0.2463
O  0.2463  0.2463  0.7537
O  0.7537  0.7537  0.2463

Output
Total DFT energy (no corrections), eV per cell: -64.41

***

First-principles (PBE with a Hubbard U) data for a relaxed SrCr2BiO6 crystal, as listed in Alexandria via LeMat-Bulk.

a b c (Å): 5.5990 5.5990 5.5990
angles (deg): 59.60 59.60 59.60
Sites, in units of the cell vectors:
Sr  0.2377  0.2377  0.2377
Cr  0.4929  0.4929  0.4929
Cr  0.9953  0.9953  0.9953
Bi  0.7129  0.7129  0.7129
O  0.1656  0.3302  0.7501
O  0.7501  0.1656  0.3302
O  0.3302  0.7501  0.1656
O  0.2736  0.8068  0.6879
O  0.6879  0.2736  0.8068
O  0.8068  0.6879  0.2736

Output
Total DFT energy (no corrections), eV per cell: -69.18
N(E_F), states/eV per atom: 0.584

***

Question: The lowest total DFT energy (no corrections) belongs to which entry?
Answer: ScCrBi2O6

***

Question: Which formula does entry 7 have?
Answer: SrCrSnBiO6

***

Question: Which of these has the highest total DFT energy (no corrections)?
Answer: CrSiBiO6

***

Question: The highest total DFT energy (no corrections) belongs to which entry?
Answer: CrSiBiO6